DFT (PBE-GGA) results for a relaxed BeMoAs crystal.

Results
VASP energy in Ry per atom: -0.4318
Crystal system: cubic
Total magnetization in μB per formula unit: 1.10

Lattice parameters (Å, degrees): 5.5548 5.5548 5.5548 90.00 90.00 90.00
Last column: nearest neighbours and their distance in Å.
Space group F-43m (No. 216)
Symmetry-distinct sites (fractional):
Be1 0.0000 0.0000 0.0000  4 As 2.41, 4 Mo 2.41
Mo1 0.2500 0.2500 0.2500  4 Be 2.41
As1 0.2500 0.2500 0.7500  4 Be 2.41